{
  "formula": "ScZn3Ag3",
  "functional": "PBE",
  "state": "relaxed",
  "formation_energy_ev_per_atom": 0.512,
  "e_tot_ev_per_atom": -2.16,
  "volume_a3_per_atom": 24.01,
  "lattice_angstrom": [[6.9531, 0.0000, 0.0000], [0.0000, 6.9531, 0.0000], [0.0000, 0.0000, 6.9531]],
  "species": ["Sc", "Sc", "Zn", "Zn", "Zn", "Zn", "Zn", "Zn", "Ag", "Ag", "Ag", "Ag", "Ag", "Ag"],
  "frac_coords": [[0.5000, 0.5000, 0.5000], [0.0000, 0.0000, 0.0000], [0.0000, 0.2500, 0.5000], [0.0000, 0.7500, 0.5000], [0.5000, 0.0000, 0.7500], [0.7500, 0.5000, 0.0000], [0.5000, 0.0000, 0.2500], [0.2500, 0.5000, 0.0000], [0.2500, 0.0000, 0.5000], [0.0000, 0.5000, 0.2500], [0.5000, 0.7500, 0.0000], [0.7500, 0.0000, 0.5000], [0.0000, 0.5000, 0.7500], [0.5000, 0.2500, 0.0000]]
}



{
  "formula": "AlPSe",
  "functional": "PBE",
  "state": "relaxed",
  "e_tot_ev_per_atom": -4.28,
  "volume_a3_per_atom": 19.21,
  "lattice_angstrom": [[-1.4548, -2.4737, 2.3097], [0.3303, -0.7955, -3.5816], [8.9284, -3.7122, 1.6478]],
  "species": ["Al", "Al", "P", "P", "Se", "Se"],
  "frac_coords": [[0.6667, 0.3333, 0.2721], [0.3333, 0.6667, 0.7721], [0.0000, 0.0000, 0.6475], [0.0000, 0.0000, 0.1475], [0.6667, 0.3333, 0.9304], [0.3333, 0.6667, 0.4304]]
}